[1]
A plane-wave DFT calculation with GGA-PBE was carried out for a relaxed structure of Y2Cu3Ag.

a = 3.5485 Å, b = 3.5485 Å, c = 8.9107 Å
α = 90.00°, β = 90.00°, γ = 90.00°
Closest atoms and distances in Å follow each position.
Sites, in units of the cell vectors:
Cu1 0.0000 0.0000 0.8202  5 Y 2.79-2.92, 4 Cu 2.83
Cu2 0.5000 0.5000 0.6724  5 Y 2.81-2.91, 5 Cu 2.83-3.02
Cu3 0.5000 0.5000 0.3338  4 Ag 2.86, 5 Y 2.94-3.08, 1 Cu 3.02
Ag1 0.0000 0.0000 0.1788  5 Cu 2.86-3.20, 5 Y 2.92-3.03
Y1 0.0000 0.0000 0.5068  9 Cu 2.79-2.94, 1 Ag 2.92
Y2 0.5000 0.5000 0.9880  6 Cu 2.81-3.08, 4 Ag 3.03

The crystal system is tetragonal. The calculated volume is 112.20 Å³ per cell. As for the total magnetic moment: 0.001 μB/atom. The space group is P4mm, No. 99. Its formation energy is -0.197 eV/atom.

[2]
A plane-wave DFT calculation with GGA-PBE was carried out for a relaxed structure of Y2Cu2Ag.

a = 5.6052 Å, b = 5.6052 Å, c = 5.6052 Å
α = 126.92°, β = 126.92°, γ = 78.39°
Closest atoms and distances in Å follow each position.
Sites, in units of the cell vectors:
Cu1 0.3737 0.3737 0.0000  1 Cu 2.19
Cu2 0.6263 0.6263 0.0000  1 Cu 2.19
Y1 0.2500 0.7500 0.5000  4 Cu 2.73
Y2 0.7500 0.2500 0.5000  4 Cu 2.73
Ag1 0.0000 0.0000 0.0000  2 Cu 3.25, 8 Y 3.32

The crystal system is tetragonal. The calculated volume is 109.01 Å³ per cell. As for the total magnetic moment: 0.000 μB/atom. The space group is I4/mmm, No. 139. Its formation energy is 0.031 eV/atom. The value obtained for the relative energy among the computed polymorphs is 8.4 meV/atom.

[3]
A plane-wave DFT calculation with GGA-PBE was carried out for a relaxed structure of YCu2Ag2.

a = 4.0037 Å, b = 4.0037 Å, c = 6.3818 Å
α = 108.28°, β = 108.28°, γ = 90.00°
Closest atoms and distances in Å follow each position.
Sites, in units of the cell vectors:
Ag1 0.2500 0.7500 0.5000  4 Cu 2.63, 4 Ag 2.83
Ag2 0.7500 0.2500 0.5000  4 Cu 2.63, 4 Ag 2.83
Cu1 0.6012 0.6012 0.2023  1 Cu 2.31
Cu2 0.3988 0.3988 0.7977  1 Cu 2.31
Y1 0.0000 0.0000 0.0000  8 Cu 3.06

The crystal system is tetragonal. The calculated volume is 91.68 Å³ per cell. As for the total magnetic moment: 0.003 μB/atom. The space group is I4/mmm, No. 139. Its formation energy is -0.118 eV/atom.

[4]
A plane-wave DFT calculation with GGA-PBE was carried out for a relaxed structure of Y2Cu2Ag.

a = 7.8315 Å, b = 7.8315 Å, c = 7.8315 Å
α = 152.02°, β = 152.02°, γ = 39.99°
Closest atoms and distances in Å follow each position.
Sites, in units of the cell vectors:
Y1 0.3900 0.3900 0.0000  4 Cu 2.80, 4 Ag 3.13
Y2 0.6100 0.6100 0.0000  4 Cu 2.80, 4 Ag 3.13
Cu1 0.7500 0.2500 0.5000  4 Cu 2.68, 4 Y 2.80
Cu2 0.2500 0.7500 0.5000  4 Cu 2.68, 4 Y 2.80
Ag1 0.0000 0.0000 0.0000  8 Y 3.13

The crystal system is tetragonal. The calculated volume is 105.53 Å³ per cell. As for the total magnetic moment: 0.007 μB/atom. The space group is I4/mmm, No. 139. Its formation energy is 0.022 eV/atom. The value obtained for the relative energy among the computed polymorphs is 0.0 meV/atom.

What did the third record say?
A plane-wave DFT calculation with GGA-PBE was carried out for a relaxed structure of YCu2Ag2.

a = 4.0037 Å, b = 4.0037 Å, c = 6.3818 Å
α = 108.28°, β = 108.28°, γ = 90.00°
Closest atoms and distances in Å follow each position.
Sites, in units of the cell vectors:
Ag1 0.2500 0.7500 0.5000  4 Cu 2.63, 4 Ag 2.83
Ag2 0.7500 0.2500 0.5000  4 Cu 2.63, 4 Ag 2.83
Cu1 0.6012 0.6012 0.2023  1 Cu 2.31
Cu2 0.3988 0.3988 0.7977  1 Cu 2.31
Y1 0.0000 0.0000 0.0000  8 Cu 3.06

The crystal system is tetragonal. The calculated volume is 91.68 Å³ per cell. As for the total magnetic moment: 0.003 μB/atom. The space group is I4/mmm, No. 139. Its formation energy is -0.118 eV/atom.

Question: calculated volume of number 3 (YCu2Ag2)?
Answer: 91.68 Å³ per cell